No. 1
Density functional theory data (GGA-PBE) for Sb2IrRh after structural relaxation.

abc: 4.7054 4.7054 3.3066
angles: 90.00 90.00 90.00
Closest atoms and distances in Å follow each position.
Space group P4/mmm (No. 123)
Unique sites:
1 Sb 0.0000 0.5000 0.0000 (multiplicity 2)  4 Ir 2.88, 4 Rh 2.88
2 Ir 0.0000 0.0000 0.5000 (multiplicity 1)  8 Sb 2.88
3 Rh 0.5000 0.5000 0.5000 (multiplicity 1)  8 Sb 2.88

Properties
Formation energy (no corrections) in eV/f.u.: 0.26
Relative energy among the computed polymorphs in eV per formula unit: 1.07
Calculated density in kg/m3: 12217

***

No. 2
Density functional theory data (GGA-PBE) for KB4Se7 after structural relaxation.

abc: 14.1922 5.9726 5.6863
angles: 90.00 90.00 90.00
Closest atoms and distances in Å follow each position.
Space group Pmn2_1 (No. 31)
Unique sites:
1 K 0.0000 0.2015 0.0000 (multiplicity 2)  12 Se 3.43-3.71
2 B 0.1249 0.6680 0.6021 (multiplicity 4)  4 Se 2.05-2.11
3 B 0.2480 0.1745 0.5818 (multiplicity 4)  4 Se 2.04-2.18
4 Se 0.0000 0.8174 0.4864 (multiplicity 2)  2 B 2.09
5 Se 0.1255 0.7077 0.9647 (multiplicity 4)  2 B 2.04-2.08
6 Se 0.1270 0.3408 0.4928 (multiplicity 4)  2 B 2.05
7 Se 0.2425 0.8397 0.4635 (multiplicity 4)  3 B 2.11-2.18

Properties
Formation energy (no corrections) in eV/f.u.: -2.78
Calculated density in kg/m3: 4376

***

No. 3
Density functional theory data (GGA-PBE) for PuCo2Pt after structural relaxation.

abc: 4.0573 4.0573 3.7018
angles: 90.00 90.00 90.00
Closest atoms and distances in Å follow each position.
Space group P4/mmm (No. 123)
Unique sites:
1 Pu 0.0000 0.0000 0.0000 (multiplicity 1)  8 Co 2.75, 4 Pt 2.87
2 Co 0.0000 0.5000 0.5000 (multiplicity 2)  4 Pu 2.75, 4 Pt 2.75, 4 Co 2.87
3 Pt 0.5000 0.5000 0.0000 (multiplicity 1)  8 Co 2.75, 4 Pu 2.87

Properties
Total energy in eV per atom: -8.871
Calculated density in kg/m3: 15176

***

No. 4
Density functional theory data (GGA-PBE) for TaZnI2 after structural relaxation.

abc: 10.0717 10.0717 5.4401
angles: 90.00 90.00 90.00
Closest atoms and distances in Å follow each position.
Space group I-42d (No. 122)
Unique sites:
1 Ta 0.0000 0.0000 0.0000 (multiplicity 4)  2 Zn 2.72, 4 I 2.80
2 Zn 0.0000 0.0000 0.5000 (multiplicity 4)  2 Ta 2.72
3 I 0.1020 0.7500 0.1250 (multiplicity 8)  2 Ta 2.80

Properties
Formation energy (no corrections) in eV/f.u.: 1.50
Relative energy among the computed polymorphs in eV per formula unit: 0.00
Calculated density in kg/m3: 6020

***

No. 5
Density functional theory data (GGA-PBE) for NiB3Sb after structural relaxation.

abc: 4.4268 4.4268 4.4268
angles: 90.00 90.00 90.00
Closest atoms and distances in Å follow each position.
Space group Pm-3m (No. 221)
Unique sites:
1 Ni 0.0000 0.0000 0.0000 (multiplicity 1)  12 B 3.13
2 B 0.0000 0.5000 0.5000 (multiplicity 3)  2 Sb 2.21
3 Sb 0.5000 0.5000 0.5000 (multiplicity 1)  6 B 2.21

Properties
Formation energy (no corrections) in eV/f.u.: 12.38
Relative energy among the computed polymorphs in eV per formula unit: 6.21
Calculated density in kg/m3: 4075

***

No. 6
Density functional theory data (GGA-PBE) for Sc2PaNbO8 after structural relaxation.

abc: 6.8152 6.9329 6.6556
angles: 90.00 90.00 90.00
Closest atoms and distances in Å follow each position.
Space group Cmmm (No. 65)
Unique sites:
1 Sc 0.0000 0.0000 0.2388 (multiplicity 4)  6 O 2.11-2.17
2 Pa 0.0000 0.5000 0.5000 (multiplicity 2)  6 O 2.10-2.23
3 Nb 0.0000 0.5000 0.0000 (multiplicity 2)  6 O 2.02-2.03
4 O 0.0000 0.3087 0.2309 (multiplicity 8)  1 Nb 2.03, 1 Sc 2.14, 1 Pa 2.23
5 O 0.1915 0.0000 0.5000 (multiplicity 4)  1 Pa 2.10, 2 Sc 2.17
6 O 0.2043 0.0000 0.0000 (multiplicity 4)  1 Nb 2.02, 2 Sc 2.11

Properties
Formation energy (no corrections) in eV/f.u.: -39.17
Calculated density in kg/m3: 5722

***

No. 7
Density functional theory data (GGA-PBE) for TlTe3S after structural relaxation.

abc: 5.3956 5.3956 5.3956
angles: 90.00 90.00 90.00
Closest atoms and distances in Å follow each position.
Space group Pm-3m (No. 221)
Unique sites:
1 Tl 0.0000 0.0000 0.0000 (multiplicity 1)  12 Te 3.82
2 Te 0.0000 0.5000 0.5000 (multiplicity 3)  2 S 2.70
3 S 0.5000 0.5000 0.5000 (multiplicity 1)  6 Te 2.70

Properties
Formation energy (no corrections) in eV/f.u.: 1.12
Relative energy among the computed polymorphs in eV per formula unit: 0.00
Calculated density in kg/m3: 6546

***

No. 8
Density functional theory data (GGA-PBE) for PmTiPt6 after structural relaxation.

abc: 4.0698 4.0698 8.1342
angles: 90.00 90.00 90.00
Closest atoms and distances in Å follow each position.
Space group P4/mmm (No. 123)
Unique sites:
1 Pm 0.0000 0.0000 0.0000 (multiplicity 1)  12 Pt 2.88-3.00
2 Ti 0.0000 0.0000 0.5000 (multiplicity 1)  12 Pt 2.76-2.88
3 Pt 0.0000 0.5000 0.2703 (multiplicity 4)  8 Pt 2.76-3.00, 2 Ti 2.76, 2 Pm 3.00
4 Pt 0.5000 0.5000 0.0000 (multiplicity 1)  4 Pm 2.88, 8 Pt 3.00
5 Pt 0.5000 0.5000 0.5000 (multiplicity 1)  8 Pt 2.76, 4 Ti 2.88

Properties
Total energy in eV per atom: -7.001
Calculated density in kg/m3: 16803

***

No. 9
Density functional theory data (GGA-PBE) for ErZrGaPt after structural relaxation.

abc: 6.8755 6.8755 6.8755
angles: 90.00 90.00 90.00
Closest atoms and distances in Å follow each position.
Space group F-43m (No. 216)
Unique sites:
1 Er 0.0000 0.0000 0.0000 (multiplicity 4)  4 Pt 2.98, 4 Ga 2.98
2 Zr 0.0000 0.0000 0.5000 (multiplicity 4)  4 Pt 2.98, 4 Ga 2.98
3 Ga 0.2500 0.2500 0.2500 (multiplicity 4)  4 Zr 2.98, 4 Er 2.98
4 Pt 0.2500 0.2500 0.7500 (multiplicity 4)  4 Zr 2.98, 4 Er 2.98

Properties
Total energy in eV per atom: -6.261
Calculated density in kg/m3: 10694

***

No. 10
Density functional theory data (GGA-PBE) for TbNd2Ho5Tm after structural relaxation.

abc: 8.5976 8.5976 15.6798
angles: 90.00 90.00 90.00
Closest atoms and distances in Å follow each position.
Space group I4/mcm (No. 140)
Unique sites:
1 Tb 0.0000 0.0000 0.2500 (multiplicity 4)  10 Ho 3.52-3.92
2 Nd 0.1179 0.3821 0.0000 (multiplicity 8)  1 Nd 2.87, 2 Ho 3.01
3 Ho 0.0000 0.0000 0.0000 (multiplicity 4)  4 Nd 3.44, 8 Ho 3.78
4 Ho 0.2131 0.2869 0.3594 (multiplicity 16)  1 Nd 3.01, 1 Tm 3.11
5 Tm 0.0000 0.5000 0.2500 (multiplicity 4)  4 Ho 3.11

Properties
Total energy in eV per atom: -4.338
Calculated density in kg/m3: 8258

***

No. 11
Density functional theory data (GGA-PBE) for Ce4SiSe2Br after structural relaxation.

abc: 7.2857 4.2130 7.2978
angles: 90.00 109.44 90.00
Closest atoms and distances in Å follow each position.
Space group P2/m (No. 10)
Unique sites:
1 Ce 0.2381 0.0000 0.2457 (multiplicity 2)  3 Se 2.93-3.02, 1 Si 2.93, 2 Br 3.03
2 Ce 0.2400 0.5000 0.7473 (multiplicity 2)  3 Se 2.93-3.02, 2 Si 2.94, 1 Br 3.02
3 Si 0.0000 0.0000 0.5000 (multiplicity 1)  6 Ce 2.93-2.94
4 Se 0.0000 0.5000 0.0000 (multiplicity 1)  6 Ce 2.93
5 Se 0.5000 0.0000 0.0000 (multiplicity 1)  6 Ce 3.02
6 Br 0.5000 0.5000 0.5000 (multiplicity 1)  6 Ce 3.02-3.03

Properties
Formation energy (no corrections) in eV/f.u.: -11.01
Calculated density in kg/m3: 6496

***

No. 12
Density functional theory data (GGA-PBE) for Dy4Ir after structural relaxation.

abc: 10.8479 10.8479 10.8479
angles: 90.00 90.00 90.00
Closest atoms and distances in Å follow each position.
Space group Fd-3m (No. 227, origin choice 2)
Unique sites:
1 Dy 0.0134 0.0134 0.2366 (multiplicity 32)  1 Ir 2.60
2 Ir 0.1250 0.1250 0.6250 (multiplicity 8)  4 Dy 2.60

Properties
Relative energy among the computed polymorphs in eV per formula unit: 2.54
Calculated density in kg/m3: 8764